Here is crystalline AlSCl2 at its relaxed geometry from the Alexandria database. Energies are from PBEsol.

```
data_AlSCl2
_chemical_formula_sum 'Al3 S3 Cl6'
_space_group_name_H-M_alt 'R -3 m'
_space_group_IT_number 166
_space_group_name_Hall '-R 3 2"'
_cell_length_a 3.2362
_cell_length_b 3.2362
_cell_length_c 27.4776
_cell_angle_alpha 90.00
_cell_angle_beta 90.00
_cell_angle_gamma 120.00
loop_
_atom_site_label
_atom_site_fract_x
_atom_site_fract_y
_atom_site_fract_z
_atom_site_occupancy
Al1 0.0000 0.0000 0.0000 1
S1 0.0000 0.0000 0.5000 1
Cl1 0.0000 0.0000 0.3892 1
```

Summary:
Total energy ... -3.203 eV per atom
Formation energy (no corrections) ... -0.08 eV per atom

Here is crystalline AlSCl7 at its relaxed geometry from the Alexandria database. Energies are from PBEsol.

```
data_AlSCl7
_chemical_formula_sum 'Al2 S2 Cl14'
_space_group_name_H-M_alt 'P 1 c 1'
_space_group_IT_number 7
_space_group_name_Hall 'P -2yc'
_cell_length_a 6.721
_cell_length_b 6.224
_cell_length_c 12.450
_cell_angle_alpha 90.00
_cell_angle_beta 103.22
_cell_angle_gamma 90.00
loop_
_atom_site_label
_atom_site_fract_x
_atom_site_fract_y
_atom_site_fract_z
_atom_site_occupancy
Al1 0.000 0.008 0.000 1
S1 0.661 0.414 0.843 1
Cl1 0.015 0.138 0.842 1
Cl2 0.028 0.336 0.499 1
Cl3 0.236 0.143 0.127 1
Cl4 0.448 0.421 0.400 1
Cl5 0.483 0.192 0.748 1
Cl6 0.705 0.098 0.027 1
Cl7 0.716 0.387 0.225 1
```

Summary:
Total energy ... -3.316 eV per atom
Formation energy (no corrections) ... -0.81 eV per atom

Here is crystalline SrAlSCl2 at its relaxed geometry from the Alexandria database. Energies are from PBEsol.

```
data_SrAlSCl2
_chemical_formula_sum 'Sr1 Al1 S1 Cl2'
_space_group_name_H-M_alt 'P 4/m m m'
_space_group_IT_number 123
_space_group_name_Hall '-P 4 2'
_cell_length_a 5.456
_cell_length_b 5.456
_cell_length_c 5.694
_cell_angle_alpha 90.00
_cell_angle_beta 90.00
_cell_angle_gamma 90.00
loop_
_atom_site_label
_atom_site_fract_x
_atom_site_fract_y
_atom_site_fract_z
_atom_site_occupancy
Sr1 0.000 0.000 0.000 1
Al1 0.500 0.500 0.500 1
S1 0.000 0.000 0.500 1
Cl1 0.000 0.500 0.000 1
```

Summary:
Total energy ... -3.590 eV per atom
Formation energy (no corrections) ... -0.72 eV per atom

Here is crystalline AlTcS2Cl at its relaxed geometry from the Alexandria database. Energies are from PBEsol.

```
data_AlTcS2Cl
_chemical_formula_sum 'Al1 Tc1 S2 Cl1'
_space_group_name_H-M_alt 'P 4/m m m'
_space_group_IT_number 123
_space_group_name_Hall '-P 4 2'
_cell_length_a 4.646
_cell_length_b 4.646
_cell_length_c 4.481
_cell_angle_alpha 90.00
_cell_angle_beta 90.00
_cell_angle_gamma 90.00
loop_
_atom_site_label
_atom_site_fract_x
_atom_site_fract_y
_atom_site_fract_z
_atom_site_occupancy
Al1 0.000 0.000 0.000 1
Tc1 0.500 0.500 0.500 1
S1 0.000 0.500 0.000 1
Cl1 0.000 0.000 0.500 1
```

Summary:
Total energy ... -4.916 eV per atom
Formation energy (no corrections) ... 0.31 eV per atom

Here is crystalline AlTeS2Cl at its relaxed geometry from the Alexandria database. Energies are from PBEsol.

```
data_AlTeS2Cl
_chemical_formula_sum 'Al1 Te1 S2 Cl1'
_space_group_name_H-M_alt 'P 4/m m m'
_space_group_IT_number 123
_space_group_name_Hall '-P 4 2'
_cell_length_a 4.704
_cell_length_b 4.704
_cell_length_c 4.430
_cell_angle_alpha 90.00
_cell_angle_beta 90.00
_cell_angle_gamma 90.00
loop_
_atom_site_label
_atom_site_fract_x
_atom_site_fract_y
_atom_site_fract_z
_atom_site_occupancy
Al1 0.000 0.000 0.000 1
Te1 0.500 0.500 0.500 1
S1 0.000 0.500 0.000 1
Cl1 0.000 0.000 0.500 1
```

Summary:
Total energy ... -3.967 eV per atom
Formation energy (no corrections) ... -0.29 eV per atom

Here is crystalline AlWS2Cl at its relaxed geometry from the Alexandria database. Energies are from PBEsol.

```
data_AlWS2Cl
_chemical_formula_sum 'Al1 W1 S2 Cl1'
_space_group_name_H-M_alt 'P 4/m m m'
_space_group_IT_number 123
_space_group_name_Hall '-P 4 2'
_cell_length_a 4.642
_cell_length_b 4.642
_cell_length_c 4.313
_cell_angle_alpha 90.00
_cell_angle_beta 90.00
_cell_angle_gamma 90.00
loop_
_atom_site_label
_atom_site_fract_x
_atom_site_fract_y
_atom_site_fract_z
_atom_site_occupancy
Al1 0.000 0.000 0.000 1
W1 0.500 0.500 0.500 1
S1 0.000 0.500 0.000 1
Cl1 0.000 0.000 0.500 1
```

Summary:
Total energy ... -5.165 eV per atom
Formation energy (no corrections) ... 0.57 eV per atom

Here is crystalline ZrAlSCl2 at its relaxed geometry from the Alexandria database. Energies are from PBEsol.

```
data_ZrAlSCl2
_chemical_formula_sum 'Zr1 Al1 S1 Cl2'
_space_group_name_H-M_alt 'P 4/m m m'
_space_group_IT_number 123
_space_group_name_Hall '-P 4 2'
_cell_length_a 4.704
_cell_length_b 4.704
_cell_length_c 5.891
_cell_angle_alpha 90.00
_cell_angle_beta 90.00
_cell_angle_gamma 90.00
loop_
_atom_site_label
_atom_site_fract_x
_atom_site_fract_y
_atom_site_fract_z
_atom_site_occupancy
Zr1 0.000 0.000 0.000 1
Al1 0.000 0.000 0.500 1
S1 0.500 0.500 0.500 1
Cl1 0.000 0.500 0.000 1
```

Summary:
Total energy ... -4.583 eV per atom
Formation energy (no corrections) ... -0.27 eV per atom

Here is crystalline Al2Sb2Cl at its relaxed geometry from the Alexandria database. Energies are from PBEsol.

```
data_Al2Sb2Cl
_chemical_formula_sum 'Al4 Sb4 Cl2'
_space_group_name_H-M_alt 'I 4/m m m'
_space_group_IT_number 139
_space_group_name_Hall '-I 4 2'
_cell_length_a 4.546
_cell_length_b 4.546
_cell_length_c 11.805
_cell_angle_alpha 90.00
_cell_angle_beta 90.00
_cell_angle_gamma 90.00
loop_
_atom_site_label
_atom_site_fract_x
_atom_site_fract_y
_atom_site_fract_z
_atom_site_occupancy
Al1 0.000 0.000 0.106 1
Sb1 0.000 0.500 0.250 1
Cl1 0.000 0.000 0.500 1
```

Summary:
Total energy ... -3.920 eV per atom
Formation energy (no corrections) ... -0.06 eV per atom